(1)
Entry from Alexandria: an optimized crystal structure of CuB2Mo (PBE-GGA).

Results
formation enthalpy at 0 K	0.49	eV/atom
energy above the most stable polymorph in this dataset	0.000	eV per atom

abc: 5.6859 5.6859 5.2629
angles: 90.00 90.00 90.00
With the nearest neighbours (Å) after each atom.
Space group I-42d (No. 122)
Asymmetric unit:
Cu1 0.0000 0.0000 0.0000 x4  4 B 2.03
B1 0.2273 0.2500 0.1250 x8  2 Cu 2.03, 2 Mo 2.20
Mo1 0.0000 0.0000 0.5000 x4  4 B 2.20

=====

(2)
Entry from Alexandria: an optimized crystal structure of TaRu3Se (PBE-GGA).

Results
energy above the most stable polymorph in this dataset	0.603	eV per atom
uncorrected formation energy	1.6045	eV/atom

abc: 4.7635 4.7635 4.7635
angles: 90.00 90.00 90.00
With the nearest neighbours (Å) after each atom.
Space group Pm-3m (No. 221)
Asymmetric unit:
Ta1 0.0000 0.0000 0.0000 x1  6 Ru 2.38
Ru1 0.0000 0.0000 0.5000 x3  2 Ta 2.38
Se1 0.5000 0.5000 0.5000 x1  12 Ru 3.37

=====

(3)
Entry from Alexandria: an optimized crystal structure of MnZnW2 (PBE-GGA).

Results
formation enthalpy at 0 K	0.35	eV/atom

abc: 2.7594 2.7594 26.6523
angles: 90.00 90.00 120.00
With the nearest neighbours (Å) after each atom.
Space group R-3m (No. 166, hexagonal axes)
Asymmetric unit:
Mn1 0.0000 0.0000 0.0000 x3  6 W 2.63, 6 Mn 2.76
Zn1 0.0000 0.0000 0.5000 x3  6 Zn 2.76, 6 W 2.84
W1 0.0000 0.0000 0.2550 x6  3 Mn 2.63, 6 W 2.76, 3 Zn 2.84

=====

(4)
Entry from Alexandria: an optimized crystal structure of Li2Cu2F5 (PBE-GGA).

Results
energy above the most stable polymorph in this dataset	0.000	eV per atom
uncorrected formation energy	-2.0372	eV/atom

abc: 9.4805 3.0297 14.0384
angles: 90.00 90.73 90.00
With the nearest neighbours (Å) after each atom.
Space group P2_1/c (No. 14)
Asymmetric unit:
Li1 0.1193 0.2460 0.2955 x4  6 F 1.96-2.08
Li2 0.3261 0.7441 0.4228 x4  5 F 1.97-2.09
Cu1 0.1012 0.2465 0.5495 x4  2 F 1.85-1.87
Cu2 0.4061 0.7425 0.1884 x4  2 F 1.83-1.85
F1 0.0200 0.2486 0.1699 x4  1 Cu 1.87, 3 Li 1.99-2.08
F2 0.1798 0.2445 0.4295 x4  1 Cu 1.85, 3 Li 1.96-2.06
F3 0.2544 0.7444 0.5815 x4  3 Cu 2.07-2.15
F4 0.2662 0.7433 0.2789 x4  1 Cu 1.85, 1 Li 2.07
F5 0.4546 0.2431 0.4006 x4  1 Cu 1.83, 2 Li 1.97

=====

(5)
Entry from Alexandria: an optimized crystal structure of CdCoCl2 (PBE-GGA).

Results
energy above the most stable polymorph in this dataset	0.278	eV per atom
uncorrected formation energy	-0.0779	eV/atom

abc: 3.1025 3.1025 9.1385
angles: 90.00 90.00 90.00
With the nearest neighbours (Å) after each atom.
Space group P4/mmm (No. 123)
Asymmetric unit:
Cd1 0.0000 0.0000 0.0000 x1  4 Cd 3.10
Co1 0.0000 0.0000 0.5000 x1  8 Cl 2.65
Cl1 0.5000 0.5000 0.3374 x2  4 Co 2.65

=====

(6)
Entry from Alexandria: an optimized crystal structure of Ac2ErSn3Pd6 (PBE-GGA).

Results
formation enthalpy at 0 K	-0.57	eV/atom

abc: 4.2638 4.2638 17.3162
angles: 90.00 90.00 90.00
With the nearest neighbours (Å) after each atom.
Space group P4/mmm (No. 123)
Asymmetric unit:
Ac1 0.0000 0.0000 0.1863 x2  4 Pd 3.09
Er1 0.0000 0.0000 0.5000 x1  8 Pd 2.83
Sn1 0.5000 0.5000 0.0000 x1  2 Pd 2.56
Sn2 0.5000 0.5000 0.3019 x2  5 Pd 2.65-2.67
Pd1 0.0000 0.5000 0.3924 x4  2 Sn 2.65, 2 Er 2.83
Pd2 0.5000 0.5000 0.1476 x2  2 Sn 2.56-2.67

=====

(7)
Entry from Alexandria: an optimized crystal structure of Nb5OF14 (PBE-GGA).

Results
uncorrected formation energy	-2.6657	eV/atom

abc: 5.8792 7.2172 9.3406
angles: 74.53 71.90 89.28
With the nearest neighbours (Å) after each atom.
Space group P-1 (No. 2)
Asymmetric unit:
Nb1 0.0000 0.0000 0.0000 x1  6 F 2.08-2.10
Nb2 0.1850 0.8151 0.5920 x2  1 O 1.91, 4 F 2.10
Nb3 0.4050 0.5954 0.2017 x2  6 F 2.08-2.10
O1 0.0000 0.0000 0.5000 x1  2 Nb 1.91
F1 0.1012 0.3981 0.3008 x2  2 Nb 2.10
F2 0.1012 0.8993 0.7995 x2  2 Nb 2.10
F3 0.2038 0.8004 0.1011 x2  2 Nb 2.08-2.09
F4 0.2955 0.2033 0.8993 x2  2 Nb 2.09-2.10
F5 0.3032 0.6976 0.4008 x2  2 Nb 2.10
F6 0.3931 0.6068 0.6976 x2  2 Nb 2.08-2.16
F7 0.5000 0.0000 0.5000 x1  2 Nb 2.10
F8 0.5000 0.5000 0.0000 x1  2 Nb 2.09

=====

(8)
Entry from Alexandria: an optimized crystal structure of TlAsBr2 (PBE-GGA).

Results
energy above the most stable polymorph in this dataset	0.193	eV per atom
uncorrected formation energy	-0.0691	eV/atom

abc: 5.9877 5.9877 17.1424
angles: 90.00 90.00 90.00
With the nearest neighbours (Å) after each atom.
Space group I-42d (No. 122)
Asymmetric unit:
Tl1 0.0000 0.0000 0.0000 x4  4 Br 3.31
As1 0.0000 0.0000 0.5000 x4  4 Br 2.79
Br1 0.1618 0.2500 0.6250 x8  2 As 2.79

=====

(9)
Entry from Alexandria: an optimized crystal structure of GaReW (PBE-GGA).

Results
formation enthalpy at 0 K	0.16	eV/atom
energy above the most stable polymorph in this dataset	0.103	eV per atom

abc: 4.4270 4.4270 2.7404
angles: 90.00 90.00 120.00
With the nearest neighbours (Å) after each atom.
Space group P3m1 (No. 156)
Asymmetric unit:
Ga1 0.0000 0.0000 0.0000 x1  3 Re 2.57, 2 Ga 2.74, 3 W 2.85
Re1 0.6667 0.3333 0.1046 x1  3 Ga 2.57, 3 W 2.73, 2 Re 2.74
W1 0.3333 0.6667 0.4595 x1  3 Re 2.73, 2 W 2.74, 6 Ga 2.85-2.95

=====

(10)
Entry from Alexandria: an optimized crystal structure of LaY4Pb (PBE-GGA).

Results
formation enthalpy at 0 K	0.16	eV/atom

abc: 9.3160 9.3160 9.3160
angles: 90.00 90.00 90.00
With the nearest neighbours (Å) after each atom.
Space group F-43m (No. 216)
Asymmetric unit:
La1 0.0000 0.0000 0.0000 x4  12 Y 3.86, 4 Pb 4.03
Y1 0.1254 0.1254 0.3746 x16  6 Y 3.28-3.30
Pb1 0.2500 0.2500 0.7500 x4  12 Y 3.86, 4 La 4.03

=====

(11)
Entry from Alexandria: an optimized crystal structure of RbNa2SrGe (PBE-GGA).

Results
formation enthalpy at 0 K	-0.02	eV/atom

abc: 6.0349 6.0349 6.1749
angles: 90.00 90.00 90.00
With the nearest neighbours (Å) after each atom.
Space group P4/mmm (No. 123)
Asymmetric unit:
Rb1 0.0000 0.0000 0.0000 x1  4 Sr 4.27, 8 Na 4.32
Na1 0.0000 0.5000 0.5000 x2  2 Ge 3.02
Sr1 0.5000 0.5000 0.0000 x1  2 Ge 3.09
Ge1 0.5000 0.5000 0.5000 x1  4 Na 3.02, 2 Sr 3.09

=====

(12)
Entry from Alexandria: an optimized crystal structure of Sr2GaAsIr (PBE-GGA).

Results
formation enthalpy at 0 K	0.02	eV/atom

abc: 5.8080 5.8080 4.5634
angles: 90.00 90.00 90.00
With the nearest neighbours (Å) after each atom.
Space group P4/mmm (No. 123)
Asymmetric unit:
Sr1 0.0000 0.5000 0.0000 x2  2 Ga 2.90
Ga1 0.0000 0.0000 0.0000 x1  2 Ir 2.28
As1 0.5000 0.5000 0.5000 x1  8 Sr 3.69, 4 Ir 4.11
Ir1 0.0000 0.0000 0.5000 x1  2 Ga 2.28